# 1
Compound: FeRu5
Source: Alexandria
Functional: GGA-PBE
Structure: optimized geometry

Cell lengths 5.022, 5.022, 5.022 Å; angles 60.00, 60.00, 60.00 degrees
Sites, in units of the cell vectors:
Fe 0.000 0.000 0.000
Ru 0.875 0.375 0.375
Ru 0.750 0.750 0.750
Ru 0.375 0.875 0.375
Ru 0.375 0.375 0.375
Ru 0.375 0.375 0.875

uncorrected energy: -8.512 eV per atom
DFT formation energy: 628 meV/atom

=====

# 2
Compound: AlCo2Bi
Source: Alexandria
Functional: GGA-PBE
Structure: optimized geometry

Cell lengths 4.397, 4.397, 4.397 Å; angles 60.00, 60.00, 60.00 degrees
Sites, in units of the cell vectors:
Co 0.250 0.250 0.250
Co 0.750 0.750 0.750
Bi 0.500 0.500 0.500
Al 0.000 0.000 0.000

uncorrected energy: -5.263 eV per atom
DFT formation energy: 196 meV/atom

=====

# 3
Compound: NpHBr3
Source: Alexandria
Functional: GGA-PBE
Structure: optimized geometry

Cell lengths 7.492, 6.547, 14.100 Å; angles 89.99, 90.64, 90.01 degrees
Sites, in units of the cell vectors:
Np 0.084 0.503 0.145
Np 0.084 0.497 0.645
Np 0.916 0.503 0.355
Np 0.916 0.497 0.855
H 0.107 0.346 0.275
H 0.893 0.346 0.225
H 0.107 0.654 0.775
H 0.893 0.654 0.725
Br 0.641 0.252 0.380
Br 0.641 0.748 0.880
Br 0.223 0.257 0.798
Br 0.137 0.738 0.977
Br 0.223 0.743 0.298
Br 0.359 0.748 0.620
Br 0.863 0.738 0.523
Br 0.777 0.257 0.702
Br 0.863 0.262 0.023
Br 0.777 0.743 0.202
Br 0.359 0.252 0.120
Br 0.137 0.262 0.477

uncorrected energy: -5.108 eV per atom

=====

# 4
Compound: ScMnBe2Tl
Source: Alexandria
Functional: GGA-PBE
Structure: optimized geometry

Cell lengths 4.247, 4.839, 4.247 Å; angles 90.00, 90.00, 90.00 degrees
Sites, in units of the cell vectors:
Sc 0.500 0.500 0.500
Be 0.000 0.000 0.500
Be 0.500 0.000 0.000
Tl 0.000 0.500 0.000
Mn 0.000 0.000 0.000

uncorrected energy: -4.513 eV per atom
DFT formation energy: 551 meV/atom

=====

The highest uncorrected energy belongs to which entry?
ScMnBe2Tl